Record 1
A plane-wave DFT calculation with SCAN was carried out for a crystal of HfZr2Be2 relaxed with PBEsol.

Structure (POSCAR):
```
HfZr2Be2
1.0
7.2234 0.0000 0.0000
0.0000 7.2234 0.0000
0.0000 0.0000 3.1982
Hf Zr Be
2 4 4
direct
0.0000 0.0000 0.0000
0.5000 0.5000 0.0000
0.1791 0.3209 0.5000
0.3209 0.8209 0.5000
0.6791 0.1791 0.5000
0.8209 0.6791 0.5000
0.1115 0.6115 0.0000
0.3885 0.1115 0.0000
0.6115 0.8885 0.0000
0.8885 0.3885 0.0000
```

Properties
total energy = -26.589 eV per atom
energy of formation from the pure elements = -33 meV per atom
energy above the lowest structure with this stoichiometry = 0.0 kJ/mol of atoms
symmetry = P4/mbm
calculated volume = 16.687 A^3/atom

Record 2
A plane-wave DFT calculation with SCAN was carried out for a crystal of HfZr2Be2 relaxed with PBEsol.

Structure (POSCAR):
```
HfZr2Be2
1.0
4.1568 0.0000 0.0000
0.0000 4.1568 0.0000
0.0000 0.0000 10.0757
Hf Zr Be
2 4 4
direct
0.0000 0.0000 0.0000
0.5000 0.5000 0.5000
0.0000 0.0000 0.3675
0.0000 0.0000 0.6325
0.5000 0.5000 0.1325
0.5000 0.5000 0.8675
0.0000 0.5000 0.2500
0.0000 0.5000 0.7500
0.5000 0.0000 0.2500
0.5000 0.0000 0.7500
```

Properties
total energy = -26.053 eV per atom
energy of formation from the pure elements = 502 meV per atom
energy above the lowest structure with this stoichiometry = 51.7 kJ/mol of atoms
symmetry = I4/mmm
calculated volume = 17.410 A^3/atom

Record 3
A plane-wave DFT calculation with SCAN was carried out for a crystal of Be5Hg4 relaxed with PBEsol.

Structure (POSCAR):
```
Be5Hg4
1.0
-4.1515 4.1515 1.8580
4.1515 -4.1515 1.8580
4.1515 4.1515 -1.8580
Be Hg
5 4
direct
0.0000 0.0000 0.0000
0.3613 0.3613 0.7225
0.3613 0.6387 0.0000
0.6387 0.3613 0.0000
0.6387 0.6387 0.2775
0.0000 0.2993 0.2993
0.0000 0.7007 0.7007
0.2993 0.0000 0.2993
0.7007 0.0000 0.7007
```

Properties
total energy = -32.357 eV per atom
energy of formation from the pure elements = 357 meV per atom
symmetry = I4/mmm
calculated volume = 14.232 A^3/atom

Record 4
A plane-wave DFT calculation with SCAN was carried out for a crystal of Be4Hg relaxed with PBEsol.

Structure (POSCAR):
```
Be4Hg
1.0
5.2955 0.0000 0.0000
0.0000 5.2955 0.0000
0.0000 0.0000 5.2955
Be Hg
8 2
direct
0.2500 0.2500 0.2500
0.2500 0.2500 0.7500
0.2500 0.7500 0.2500
0.2500 0.7500 0.7500
0.7500 0.2500 0.2500
0.7500 0.2500 0.7500
0.7500 0.7500 0.2500
0.7500 0.7500 0.7500
0.0000 0.0000 0.0000
0.5000 0.5000 0.5000
```

Properties
total energy = -16.259 eV per atom
energy of formation from the pure elements = 857 meV per atom
symmetry = Im-3m
calculated volume = 14.850 A^3/atom

Record 5
A plane-wave DFT calculation with SCAN was carried out for a crystal of Be2HgI relaxed with PBEsol.

Structure (POSCAR):
```
Be2HgI
1.0
6.7036 0.0000 0.0000
0.0000 6.7036 0.0000
0.0000 0.0000 6.7036
Be Hg I
8 4 4
direct
0.2500 0.2500 0.2500
0.2500 0.2500 0.7500
0.2500 0.7500 0.2500
0.2500 0.7500 0.7500
0.7500 0.2500 0.2500
0.7500 0.2500 0.7500
0.7500 0.7500 0.2500
0.7500 0.7500 0.7500
0.0000 0.0000 0.0000
0.0000 0.5000 0.5000
0.5000 0.0000 0.5000
0.5000 0.5000 0.0000
0.0000 0.0000 0.5000
0.0000 0.5000 0.0000
0.5000 0.0000 0.0000
0.5000 0.5000 0.5000
```

Properties
total energy = -27.276 eV per atom
symmetry = Fm-3m
E_form (uncorrected) = 1.13 eV per atom
calculated volume = 18.828 A^3/atom

Record 6
A plane-wave DFT calculation with SCAN was carried out for a crystal of BeHg2I relaxed with PBEsol.

Structure (POSCAR):
```
BeHg2I
1.0
7.3835 0.0000 0.0000
0.0000 7.3835 0.0000
0.0000 0.0000 7.3835
Be Hg I
4 8 4
direct
0.0000 0.0000 0.0000
0.0000 0.5000 0.5000
0.5000 0.0000 0.5000
0.5000 0.5000 0.0000
0.2500 0.2500 0.2500
0.2500 0.2500 0.7500
0.2500 0.7500 0.2500
0.2500 0.7500 0.7500
0.7500 0.2500 0.2500
0.7500 0.2500 0.7500
0.7500 0.7500 0.2500
0.7500 0.7500 0.7500
0.0000 0.0000 0.5000
0.0000 0.5000 0.0000
0.5000 0.0000 0.0000
0.5000 0.5000 0.5000
```

Properties
total energy = -43.568 eV per atom
symmetry = Fm-3m
E_form (uncorrected) = 0.79 eV per atom
calculated volume = 25.158 A^3/atom